# GGA-PBE AcAgHg, optimized geometry
# **DFT total energy**: -2.82 eV per atom
# **Offset from the most stable computed form**: 0.010 eV per atom
data_AcAgHg
_cell_length_a 4.995
_cell_length_b 6.385
_cell_length_c 6.305
_cell_angle_alpha 75.16
_cell_angle_beta 66.66
_cell_angle_gamma 66.97
_symmetry_space_group_name_H-M 'P 1'
_symmetry_Int_Tables_number 1
_symmetry_space_group_name_Hall 'P 1'
loop_
_atom_site_label
_atom_site_fract_x
_atom_site_fract_y
_atom_site_fract_z
Ac1 0.478 0.772 0.271
Hg1 0.172 0.359 0.296
Ag1 0.161 0.814 0.864
Ac2 0.522 0.228 0.729
Hg2 0.828 0.641 0.704
Ag2 0.839 0.186 0.136